## 1
Compound: ZrTcBr2
Source: Alexandria via LeMat-Bulk
Functional: PBE
Structure: optimized geometry Values from VASP.

Structure (Quantum ESPRESSO input):
```
&SYSTEM
  ibrav = 0, nat = 4, ntyp = 3
/
ATOMIC_SPECIES
Zr 91.22 Zr.upf
Tc 98.00 Tc.upf
Br 79.90 Br.upf
CELL_PARAMETERS angstrom
3.155 0.000 0.000
0.000 4.558 0.000
0.000 0.000 5.765
ATOMIC_POSITIONS crystal
Zr 0.000 0.000 0.000
Tc 0.500 0.000 0.500
Br 0.000 0.500 0.500
Br 0.500 0.500 0.000
```

**Space group**: No. 47
**Magnetic moment**: 1.56 μB/f.u.
**D(E_F)**: 3.48 states/eV/cell



## 2
Compound: ZrTcBr2
Source: Alexandria via LeMat-Bulk
Functional: PBE
Structure: optimized geometry Values from VASP.

Structure (Quantum ESPRESSO input):
```
&SYSTEM
  ibrav = 0, nat = 8, ntyp = 3
/
ATOMIC_SPECIES
Zr 91.22 Zr.upf
Tc 98.00 Tc.upf
Br 79.90 Br.upf
CELL_PARAMETERS angstrom
-3.025 3.025 5.462
3.025 -3.025 5.462
3.025 3.025 -5.462
ATOMIC_POSITIONS crystal
Zr 0.000 0.000 0.000
Zr 0.750 0.250 0.500
Tc 0.250 0.750 0.500
Tc 0.500 0.500 0.000
Br 0.152 0.625 0.027
Br 0.375 0.402 0.527
Br 0.598 0.125 0.973
Br 0.875 0.848 0.473
```

**Space group**: No. 122
**Magnetic moment**: 0.00 μB/f.u.
**D(E_F)**: 8.41 states/eV/cell



Q: Which of them is the least stable? A: 2.